Entry 1:
# KTcPt

KTcPt after structural relaxation (PBE, the Alexandria database).

Cell and atoms, written as POSCAR:
```
KTcPt
1.0
3.666 -2.118 0.000
3.666 2.118 0.000
-3.509 0.000 11.446
K Tc Pt
2 2 2
direct
0.000 0.000 0.000 K
0.706 0.706 0.386 K
0.186 0.186 0.693 Tc
0.853 0.853 0.693 Tc
0.462 0.462 0.574 Pt
0.576 0.576 0.812 Pt
```

- Fermi-level density of states (states/eV per atom) = 0.54
- symmetry = Cm, No. 8

---

Entry 2:
# KTc2Pt

KTc2Pt after structural relaxation (PBE, the Alexandria database).

Cell and atoms, written as POSCAR:
```
KTc2Pt
1.0
2.749 0.000 0.000
0.000 4.468 0.000
0.000 0.000 7.177
K Tc Pt
1 2 1
direct
0.000 0.000 0.000 K
0.500 0.500 0.350 Tc
0.500 0.500 0.650 Tc
0.000 0.000 0.500 Pt
```

- Fermi-level density of states (states/eV per atom) = 1.02
- symmetry = Pmmm, No. 47

---

Entry 3:
# KTc2Pt

KTc2Pt after structural relaxation (PBE, the Alexandria database).

Cell and atoms, written as POSCAR:
```
KTc2Pt
1.0
1.408 0.813 10.211
-1.408 0.813 10.211
0.000 -1.626 10.211
K Tc Pt
1 2 1
direct
0.000 0.000 0.000 K
0.233 0.233 0.233 Tc
0.500 0.500 0.500 Tc
0.757 0.757 0.757 Pt
```

- Fermi-level density of states (states/eV per atom) = 0.90
- symmetry = R3m, No. 160

---

Entry 4:
# KTcPt

KTcPt after structural relaxation (PBE, the Alexandria database).

Cell and atoms, written as POSCAR:
```
KTcPt
1.0
3.697 0.000 0.000
0.000 3.697 0.000
0.000 0.000 11.824
K Tc Pt
2 2 2
direct
0.250 0.250 0.171 K
0.750 0.750 0.829 K
0.250 0.750 0.500 Tc
0.750 0.250 0.500 Tc
0.250 0.250 0.661 Pt
0.750 0.750 0.339 Pt
```

- Fermi-level density of states (states/eV per atom) = 1.33
- symmetry = P4/nmm, No. 129

---

Entry 5:
# KTc2Pt

KTc2Pt after structural relaxation (PBE, the Alexandria database).

Cell and atoms, written as POSCAR:
```
KTc2Pt
1.0
2.607 0.000 0.000
0.000 4.900 0.000
-0.270 0.000 6.661
K Tc Pt
1 2 1
direct
0.000 0.000 0.000 K
0.420 0.500 0.328 Tc
0.580 0.500 0.672 Tc
0.500 0.000 0.500 Pt
```

- Fermi-level density of states (states/eV per atom) = 1.20
- symmetry = P2/m, No. 10

---

Entry 6:
# KTc2Pt

KTc2Pt after structural relaxation (PBE, the Alexandria database).

Cell and atoms, written as POSCAR:
```
KTc2Pt
1.0
4.387 -1.395 0.000
4.387 1.395 0.000
-0.730 0.000 7.161
K Tc Pt
1 2 1
direct
0.000 0.000 0.000 K
0.225 0.225 0.619 Tc
0.493 0.493 0.518 Tc
0.765 0.765 0.318 Pt
```

- Fermi-level density of states (states/eV per atom) = 0.93
- symmetry = Cm, No. 8

---

Computed formation energy (eV/atom) in order:
0.140 0.653 0.412 0.441 0.881 0.604
Computed calculated volume (Å³/f.u.) in order:
89 88 70 81 85 88
Computed energy above the lowest structure with this stoichiometry (meV per atom) in order:
1 241 0 302 470 192